Density functional theory data (PBE) for a relaxed structure of AlIn2B2Rh5.

The structure in CIF format:
```
data_AlIn2B2Rh5
_space_group_name_H-M_alt 'P 1'
_space_group_IT_number 1
_space_group_name_Hall 'P 1'
_cell_length_a 2.986
_cell_length_b 9.539
_cell_length_c 9.539
_cell_angle_alpha 90.00
_cell_angle_beta 90.00
_cell_angle_gamma 90.00
loop_
_atom_site_label
_atom_site_fract_x
_atom_site_fract_y
_atom_site_fract_z
Rh1 0.500 0.427 0.286
Rh2 0.500 0.000 0.500
Rh3 0.500 0.927 0.214
Rh4 0.500 0.073 0.786
Rh5 0.500 0.286 0.573
Rh6 0.500 0.214 0.073
Rh7 0.500 0.714 0.427
Rh8 0.500 0.573 0.714
Rh9 0.500 0.500 0.000
Rh10 0.500 0.786 0.927
Al1 0.000 0.000 0.000
Al2 0.000 0.500 0.500
In1 0.000 0.824 0.676
In2 0.000 0.676 0.176
In3 0.000 0.176 0.324
In4 0.000 0.324 0.824
B1 0.000 0.875 0.375
B2 0.000 0.125 0.625
B3 0.000 0.375 0.125
B4 0.000 0.625 0.875
```

Values from the calculation:
- Space-group type: P4/mbm, No. 127
- Formation energy from the elements: -479 meV/atom
- N(E_F): 6.615 states/eV/cell